# ZnCo2Tc | Alexandria | GGA-PBE | optimized geometry
data_ZnCo2Tc
_chemical_formula_sum 'Zn1 Co2 Tc1'
_cell_length_a 2.6409
_cell_length_b 2.6409
_cell_length_c 8.4510
_cell_angle_alpha 81.01
_cell_angle_beta 81.01
_cell_angle_gamma 60.00
_space_group_name_H-M_alt 'P 1'
_space_group_IT_number 1
loop_
_space_group_symop_operation_xyz
'x,y,z'
loop_
_atom_site_label
_atom_site_type_symbol
_atom_site_fract_x
_atom_site_fract_y
_atom_site_fract_z
_atom_site_occupancy
Zn1 Zn 0.5001 0.5001 0.4997 1
Co1 Co 0.0829 0.0829 0.7513 1
Co2 Co 0.2504 0.2504 0.2487 1
Tc1 Tc 0.6665 0.6665 0.0004 1
# **Theoretical density**: 9303 kg/m³
# **Spin magnetization**: 2.1 μB/cell
# **DFT formation energy**: 82 meV/atom

---

# Tb8P3S3O | Alexandria | GGA-PBE | optimized geometry
data_Tb8P3S3O
_chemical_formula_sum 'Tb8 P3 S3 O1'
_cell_length_a 7.8498
_cell_length_b 7.8501
_cell_length_c 7.8031
_cell_angle_alpha 120.20
_cell_angle_beta 90.00
_cell_angle_gamma 120.00
_space_group_name_H-M_alt 'P 1'
_space_group_IT_number 1
loop_
_space_group_symop_operation_xyz
'x,y,z'
loop_
_atom_site_label
_atom_site_type_symbol
_atom_site_fract_x
_atom_site_fract_y
_atom_site_fract_z
_atom_site_occupancy
Tb1 Tb 0.2481 0.4962 0.2443 1
Tb2 Tb 0.7519 0.5038 0.7557 1
Tb3 Tb 0.7656 0.5311 0.2624 1
Tb4 Tb 0.2344 0.4689 0.7376 1
Tb5 Tb 0.7655 0.9968 0.2623 1
Tb6 Tb 0.2345 0.0032 0.7377 1
Tb7 Tb 0.2313 0.9968 0.2623 1
Tb8 Tb 0.7687 0.0032 0.7377 1
P1 P 0.0000 0.0000 0.0000 1
P2 P 0.0000 0.5000 0.0000 1
P3 P 0.5000 0.5000 0.0000 1
S1 S 0.5000 0.0000 0.5000 1
S2 S 0.5000 0.5000 0.5000 1
S3 S 0.0000 0.5000 0.5000 1
O1 O 0.0000 0.0000 0.5000 1
# **Theoretical density**: 7233 kg/m³
# **Spin magnetization**: 0.0 μB/cell
# **Formation energy without anion corrections**: -26.94 eV/f.u.

---

# SnP2Pd7Pb2 | Alexandria | GGA-PBE | optimized geometry
data_SnP2Pd7Pb2
_chemical_formula_sum 'Sn1 P2 Pd7 Pb2'
_cell_length_a 4.1109
_cell_length_b 4.1109
_cell_length_c 13.3133
_cell_angle_alpha 83.73
_cell_angle_beta 83.73
_cell_angle_gamma 89.31
_space_group_name_H-M_alt 'P 1'
_space_group_IT_number 1
loop_
_space_group_symop_operation_xyz
'x,y,z'
loop_
_atom_site_label
_atom_site_type_symbol
_atom_site_fract_x
_atom_site_fract_y
_atom_site_fract_z
_atom_site_occupancy
Sn1 Sn 0.0000 0.0000 0.0000 1
P1 P 0.5849 0.5849 0.7556 1
P2 P 0.4151 0.4151 0.2444 1
Pd1 Pd 0.5000 0.5000 0.0000 1
Pd2 Pd 0.3774 0.3774 0.4214 1
Pd3 Pd 0.6226 0.6226 0.5786 1
Pd4 Pd 0.9451 0.4456 0.1538 1
Pd5 Pd 0.4456 0.9451 0.1538 1
Pd6 Pd 0.5544 0.0549 0.8462 1
Pd7 Pd 0.0549 0.5544 0.8462 1
Pb1 Pb 0.8940 0.8940 0.3713 1
Pb2 Pb 0.1060 0.1060 0.6287 1
# **Theoretical density**: 10009 kg/m³
# **Spin magnetization**: 0.0 μB/cell
# **DFT formation energy**: -367 meV/atom

---

# LaMg3Zn | Alexandria | GGA-PBE | optimized geometry
data_LaMg3Zn
_chemical_formula_sum 'La1 Mg3 Zn1'
_cell_length_a 5.0626
_cell_length_b 5.0626
_cell_length_c 5.0626
_cell_angle_alpha 90.00
_cell_angle_beta 90.00
_cell_angle_gamma 90.00
_space_group_name_H-M_alt 'P 1'
_space_group_IT_number 1
loop_
_space_group_symop_operation_xyz
'x,y,z'
loop_
_atom_site_label
_atom_site_type_symbol
_atom_site_fract_x
_atom_site_fract_y
_atom_site_fract_z
_atom_site_occupancy
Zn1 Zn 0.0000 0.0000 0.0000 1
Mg1 Mg 0.0000 0.5000 0.0000 1
Mg2 Mg 0.0000 0.0000 0.5000 1
Mg3 Mg 0.5000 0.0000 0.0000 1
La1 La 0.5000 0.5000 0.5000 1
# **Theoretical density**: 3548 kg/m³
# **Spin magnetization**: 0.0 μB/cell
# **Energy above the lowest structure with this stoichiometry**: 157.1 meV per atom
# **DFT formation energy**: 28 meV/atom

---

# Li2MgHgBr6 | Alexandria | GGA-PBE | optimized geometry
data_Li2MgHgBr6
_chemical_formula_sum 'Li2 Mg1 Hg1 Br6'
_cell_length_a 6.9191
_cell_length_b 6.9223
_cell_length_c 7.4515
_cell_angle_alpha 62.35
_cell_angle_beta 62.34
_cell_angle_gamma 59.98
_space_group_name_H-M_alt 'P 1'
_space_group_IT_number 1
loop_
_space_group_symop_operation_xyz
'x,y,z'
loop_
_atom_site_label
_atom_site_type_symbol
_atom_site_fract_x
_atom_site_fract_y
_atom_site_fract_z
_atom_site_occupancy
Li1 Li 0.5040 0.5040 0.4879 1
Li2 Li 0.0180 0.0179 0.9462 1
Mg1 Mg 0.8207 0.8209 0.5382 1
Hg1 Hg 0.3102 0.3103 0.0689 1
Br1 Br 0.6219 0.2299 0.2505 1
Br2 Br 0.2300 0.8975 0.2505 1
Br3 Br 0.8976 0.6218 0.2505 1
Br4 Br 0.4243 0.7379 0.7407 1
Br5 Br 0.7377 0.0974 0.7409 1
Br6 Br 0.0973 0.4242 0.7409 1
# **Theoretical density**: 4571 kg/m³
# **Spin magnetization**: 0.0 μB/cell
# **Formation energy without anion corrections**: -11.37 eV/f.u.

---

# YTa2In | Alexandria | GGA-PBE | optimized geometry
data_YTa2In
_chemical_formula_sum 'Y1 Ta2 In1'
_cell_length_a 2.9746
_cell_length_b 2.9746
_cell_length_c 9.7006
_cell_angle_alpha 90.00
_cell_angle_beta 90.00
_cell_angle_gamma 90.00
_space_group_name_H-M_alt 'P 1'
_space_group_IT_number 1
loop_
_space_group_symop_operation_xyz
'x,y,z'
loop_
_atom_site_label
_atom_site_type_symbol
_atom_site_fract_x
_atom_site_fract_y
_atom_site_fract_z
_atom_site_occupancy
In1 In 0.5000 0.5000 0.7500 1
Ta1 Ta 0.0000 0.0000 0.9842 1
Ta2 Ta 0.0000 0.0000 0.5158 1
Y1 Y 0.5000 0.5000 0.2500 1
# **Theoretical density**: 10943 kg/m³
# **Spin magnetization**: 0.0 μB/cell
# **DFT formation energy**: 353 meV/atom

---

> Which value of spin magnetization does entry 6 give?

0.0 μB/cell

---

> The highest theoretical density belongs to which entry?

YTa2In

---

> Look up the theoretical density of the first one.

9303 kg/m³